# 1
meta-GGA SCAN Ho2ZnCu, PBEsol geometry; total magnetization = 0.00 Bohr magnetons per cell; crystal system = cubic; formation energy from the elements = -0.367 eV/atom
1.0
-0.565 3.539 3.286
-3.426 3.390 -0.643
-3.931 0.057 2.861
Ho Cu Zn
2 1 1
Direct
0.750 0.750 0.750 Ho
0.250 0.250 0.250 Ho
0.000 0.000 0.000 Cu
0.500 0.500 0.500 Zn



# 2
meta-GGA SCAN Y2SbAs, PBEsol geometry; total magnetization = 0.00 Bohr magnetons per cell; uncorrected formation energy = -1.476 eV per atom; crystal system = tetragonal
1.0
4.200 0.000 0.000
0.000 4.200 0.000
0.000 0.000 5.943
Y As Sb
2 1 1
Direct
0.500 0.500 0.000 Y
0.000 0.000 0.500 Y
0.000 0.000 0.000 As
0.500 0.500 0.500 Sb



# 3
meta-GGA SCAN CeB2Rh3, PBEsol geometry; total magnetization = 0.86 Bohr magnetons per cell; crystal system = hexagonal; formation energy from the elements = -0.798 eV/atom
1.0
3.096 0.000 0.000
0.000 5.387 0.000
0.000 -2.694 4.666
B Rh Ce
2 3 1
Direct
0.000 0.333 0.667 B
0.000 0.667 0.333 B
0.500 0.500 0.500 Rh
0.500 0.500 0.000 Rh
0.500 0.000 0.500 Rh
0.000 0.000 0.000 Ce



# 4
meta-GGA SCAN AlZnCd2, PBEsol geometry; total magnetization = 0.00 Bohr magnetons per cell; polymorph energy (0 for the lowest one) = 132 meV per atom; crystal system = cubic; formation energy from the elements = 0.211 eV/atom
1.0
4.758 0.000 0.000
2.379 4.120 0.000
2.379 1.373 3.885
Al Zn Cd
1 1 2
Direct
0.500 0.500 0.500 Al
0.250 0.250 0.250 Zn
0.750 0.750 0.750 Cd
0.000 0.000 0.000 Cd



# 5
meta-GGA SCAN YCoTc2, PBEsol geometry; total magnetization = 1.65 Bohr magnetons per cell; polymorph energy (0 for the lowest one) = 412 meV per atom; crystal system = orthorhombic; formation energy from the elements = 0.530 eV/atom
1.0
-1.791 1.192 -1.773
1.597 -3.084 -3.686
-3.864 -1.413 2.952
Tc Y Co
2 1 1
Direct
0.000 0.000 0.500 Tc
0.000 0.500 0.000 Tc
0.500 0.000 0.000 Y
0.500 0.500 0.500 Co



# 6
meta-GGA SCAN Mg2ZrPt, PBEsol geometry; total magnetization = 0.00 Bohr magnetons per cell; crystal system = cubic; formation energy from the elements = -0.742 eV/atom
1.0
-4.415 -1.423 -0.308
-1.939 -2.339 3.518
-3.280 2.017 2.605
Mg Zr Pt
2 1 1
Direct
0.000 0.000 0.000 Mg
0.750 0.750 0.750 Mg
0.500 0.500 0.500 Zr
0.250 0.250 0.250 Pt



# 7
meta-GGA SCAN CuNi2Br, PBEsol geometry; total magnetization = 0.97 Bohr magnetons per cell; polymorph energy (0 for the lowest one) = 145 meV per atom; uncorrected formation energy = 0.788 eV per atom; crystal system = cubic
1.0
4.191 0.000 0.000
2.096 3.630 0.000
2.096 1.210 3.422
Ni Br Cu
2 1 1
Direct
0.000 0.000 0.000 Ni
0.750 0.750 0.750 Ni
0.500 0.500 0.500 Br
0.250 0.250 0.250 Cu



# 8
meta-GGA SCAN NbMoI2Cl, PBEsol geometry; total magnetization = 0.72 Bohr magnetons per cell; uncorrected formation energy = 0.687 eV per atom; crystal system = tetragonal
1.0
-4.792 -1.012 0.191
0.666 -3.832 -3.599
0.893 -3.493 3.884
I Mo Cl Nb
2 1 1 1
Direct
0.000 0.500 0.000 I
0.000 0.000 0.500 I
0.000 0.000 0.000 Mo
0.500 0.500 0.500 Cl
0.500 0.000 0.000 Nb



Number 4 is which compound? AlZnCd2